Density functional theory data (PBE) for crystalline LiNdHg at its relaxed geometry.

The structure in extended XYZ format:
```
12
Lattice="4.9265 0.0000 0.0000 0.0000 8.5884 0.0000 0.0000 0.0000 6.8111" Properties=species:S:1:pos:R:3 pbc="T T T"
Nd 1.2316 6.1864 6.7884
Nd 3.6949 1.8922 3.4283
Nd 1.2316 6.6962 3.3828
Nd 3.6949 2.4020 0.0227
Li 3.6949 7.8863 5.4233
Li 1.2316 0.7021 1.3879
Li 1.2316 3.5921 4.7934
Li 3.6949 4.9963 2.0177
Hg 3.6949 7.8626 1.5149
Hg 3.6949 5.0200 4.9204
Hg 1.2316 0.7258 5.2963
Hg 1.2316 3.5684 1.8907
```

Calculated values
energy = -32.0 eV for the cell shown
magnetic moment = 0.0 μB per formula unit